The following is a DFT calculation (GGA+U) of a geometry-optimized NiHN2O structure.

Output
final energy: -3.535 eV/atom
crystal system: tetragonal
symmetry: P4/mmm

Cell lengths 3.7797, 3.7797, 3.7365 Å; angles 90.00, 90.00, 90.00 degrees
Closest atoms and distances in Å follow each position.
Atoms (fractional coordinates):
Ni 0.0000 0.0000 0.0000  2 O 1.87, 4 N 1.89
H 0.5000 0.5000 0.5000  8 N 2.66, 4 O 2.67
O 0.0000 0.0000 0.5000  2 Ni 1.87
N 0.0000 0.5000 0.0000  2 Ni 1.89
N 0.5000 0.0000 0.0000  2 Ni 1.89